Record 1
Below is a relaxed structure of Ga3PO, with properties calculated at the PBE level.

Cell: 4.407 4.407 4.407 Å, 90.00 90.00 90.00°
Positions (direct):
Ga1 0.000 0.000 0.500
Ga2 0.000 0.500 0.000
Ga3 0.500 0.000 0.000
P1 0.500 0.500 0.500
O1 0.000 0.000 0.000

As for the energy above the most stable polymorph in this dataset: 0.000 eV/f.u. Its formation energy from raw total energies is -0.03 eV per atom. For the calculated total energy, the calculation gives -3.92 eV/atom. The volume is 86 Å³/f.u.

---

Record 2
Below is a relaxed structure of Ga3GeP, with properties calculated at the PBE level.

Cell: 4.769 4.769 4.769 Å, 90.00 90.00 90.00°
Positions (direct):
Ga1 0.000 0.000 0.500
Ga2 0.000 0.500 0.000
Ga3 0.500 0.000 0.000
Ge1 0.500 0.500 0.500
P1 0.000 0.000 0.000

As for the energy above the most stable polymorph in this dataset: 0.000 eV/f.u. Its energy of formation is 0.401 eV per atom. For the calculated total energy, the calculation gives -3.42 eV/atom. The volume is 108 Å³/f.u.

---

Record 3
Below is a relaxed structure of KBa2Rh, with properties calculated at the PBE level.

Cell: 5.570 5.570 4.758 Å, 90.00 90.00 90.00°
Positions (direct):
K1 0.000 0.000 0.000
Ba1 0.000 0.500 0.500
Ba2 0.500 0.000 0.500
Rh1 0.500 0.500 0.000

As for the energy above the most stable polymorph in this dataset: 1.652 eV/f.u. Its energy of formation is 0.301 eV per atom. For the calculated total energy, the calculation gives -2.77 eV/atom. The volume is 148 Å³/f.u.